Cu5Pd4 | PBE | relaxed

a = 2.744 Å, b = 6.949 Å, c = 6.949 Å
α = 72.29°, β = 78.80°, γ = 78.80°
Fractional positions:
Cu (0.000, 0.333, 0.667)
Cu (0.332, 0.001, 0.335)
Cu (0.668, 0.665, 0.999)
Cu (0.000, 0.985, 0.015)
Cu (0.000, 0.682, 0.318)
Pd (0.341, 0.321, 0.996)
Pd (0.659, 0.346, 0.337)
Pd (0.341, 0.663, 0.654)
Pd (0.659, 0.004, 0.679)

DFT formation energy   -90 meV per atom
E_tot   -4.674 eV/atom
Polymorph energy (0 for the lowest one)   0.000 eV per formula unit
Density of states at the Fermi level   5.28 states/eV/f.u.
Crystal system   monoclinic